Entry 1:
! PBE-GGA LiTaPdAu, relaxed; values from VASP
! D(E_F), states/eV/cell: 3.6
! Theoretical density, Mg/m³: 12.655
! DFT total energy, eV per atom: -5.751
! Energy relative to the elements, eV per atom: -0.19
&SYSTEM
  ibrav = 0, nat = 4, ntyp = 4
/
ATOMIC_SPECIES
Ta 180.95 Ta.upf
Li 6.94 Li.upf
Pd 106.42 Pd.upf
Au 196.97 Au.upf
CELL_PARAMETERS angstrom
4.501 0.000 0.000
2.250 3.898 0.000
2.250 1.299 3.675
ATOMIC_POSITIONS crystal
Ta 0.500 0.500 0.500
Li 0.000 0.000 0.000
Pd 0.250 0.250 0.250
Au 0.750 0.750 0.750

Entry 2:
! PBE-GGA BaCoOs2, relaxed; values from VASP
! D(E_F), states/eV/cell: 6.9
! Energy above the lowest structure with this stoichiometry, meV per atom: 718
! Theoretical density, Mg/m³: 11.776
! DFT total energy, eV per atom: -6.843
! Energy relative to the elements, eV per atom: 1.03
&SYSTEM
  ibrav = 0, nat = 4, ntyp = 3
/
ATOMIC_SPECIES
Os 190.23 Os.upf
Co 58.93 Co.upf
Ba 137.33 Ba.upf
CELL_PARAMETERS angstrom
-2.579 2.577 2.032
-2.089 -0.553 -1.951
-3.124 -5.368 2.841
ATOMIC_POSITIONS crystal
Os 0.000 0.953 0.908
Os 0.000 0.547 0.592
Co 0.500 0.750 0.750
Ba 0.500 0.250 0.250

Entry 3:
! PBE-GGA CoAgSN2, relaxed; values from VASP
! D(E_F), states/eV/cell: 3.1
! Energy above the lowest structure with this stoichiometry, meV per atom: 0
! Formation energy without anion corrections, eV/atom: 0.999
! Theoretical density, Mg/m³: 5.259
! DFT total energy, eV per atom: -5.148
&SYSTEM
  ibrav = 0, nat = 5, ntyp = 4
/
ATOMIC_SPECIES
S 32.06 S.upf
Co 58.93 Co.upf
Ag 107.87 Ag.upf
N 14.01 N.upf
CELL_PARAMETERS angstrom
3.549 0.000 0.000
0.000 3.549 0.000
0.000 0.000 5.688
ATOMIC_POSITIONS crystal
S 0.000 0.000 0.500
Co 0.000 0.000 0.000
Ag 0.500 0.500 0.500
N 0.500 0.000 0.000
N 0.000 0.500 0.000